1.
The following is a PBE calculation of NaAs2Pt2 after structural relaxation, from Alexandria.

```
data_NaAs2Pt2
_chemical_formula_sum 'Na2 As4 Pt4'
_cell_length_a 7.657
_cell_length_b 7.657
_cell_length_c 3.092
_cell_angle_alpha 90.00
_cell_angle_beta 90.00
_cell_angle_gamma 90.00
_space_group_name_H-M_alt 'P 4/m b m'
_space_group_IT_number 127
_space_group_name_Hall '-P 4 2ab'
loop_
_atom_site_label
_atom_site_type_symbol
_atom_site_fract_x
_atom_site_fract_y
_atom_site_fract_z
Na1 Na 0.000 0.000 0.000
As1 As 0.160 0.340 0.500
Pt1 Pt 0.135 0.635 0.000
```

## Properties
For the energy of formation from the pure elements, the calculation gives -0.219 eV/atom.

2.
The following is a PBE calculation of Na2AsPt after structural relaxation, from Alexandria.

```
data_Na2AsPt
_chemical_formula_sum 'Na8 As4 Pt4'
_cell_length_a 11.543
_cell_length_b 11.543
_cell_length_c 4.712
_cell_angle_alpha 90.00
_cell_angle_beta 90.00
_cell_angle_gamma 90.00
_space_group_name_H-M_alt 'I -4 2 d'
_space_group_IT_number 122
_space_group_name_Hall 'I -4 2bw'
loop_
_atom_site_label
_atom_site_type_symbol
_atom_site_fract_x
_atom_site_fract_y
_atom_site_fract_z
Na1 Na 0.005 0.750 0.125
As1 As 0.000 0.000 0.500
Pt1 Pt 0.000 0.000 0.000
```

## Properties
For the energy of formation from the pure elements, the calculation gives -0.295 eV/atom.

3.
The following is a PBE calculation of Na2As2Pt3 after structural relaxation, from Alexandria.

```
data_Na2As2Pt3
_chemical_formula_sum 'Na4 As4 Pt6'
_cell_length_a 10.621
_cell_length_b 3.961
_cell_length_c 7.165
_cell_angle_alpha 90.00
_cell_angle_beta 118.34
_cell_angle_gamma 90.00
_space_group_name_H-M_alt 'C 1 2/m 1'
_space_group_IT_number 12
loop_
_space_group_symop_operation_xyz
'x,y,z'
'-x,-y,-z'
'-x,y,-z'
'x,-y,z'
'x+1/2,y+1/2,z'
'-x+1/2,-y+1/2,-z'
'-x+1/2,y+1/2,-z'
'x+1/2,-y+1/2,z'
loop_
_atom_site_label
_atom_site_type_symbol
_atom_site_fract_x
_atom_site_fract_y
_atom_site_fract_z
Na1 Na 0.141 0.000 0.281
As1 As 0.147 0.000 0.743
Pt1 Pt 0.000 0.500 0.500
Pt2 Pt 0.112 0.500 0.939
```

## Properties
For the energy of formation from the pure elements, the calculation gives -0.379 eV/atom.

4.
The following is a PBE calculation of NaAsPt2 after structural relaxation, from Alexandria.

```
data_NaAsPt2
_chemical_formula_sum 'Na4 As4 Pt8'
_cell_length_a 4.076
_cell_length_b 9.847
_cell_length_c 7.097
_cell_angle_alpha 90.00
_cell_angle_beta 90.00
_cell_angle_gamma 90.00
_space_group_name_H-M_alt 'C m c m'
_space_group_IT_number 63
_space_group_name_Hall '-C 2c 2'
loop_
_atom_site_label
_atom_site_type_symbol
_atom_site_fract_x
_atom_site_fract_y
_atom_site_fract_z
Na1 Na 0.000 0.056 0.250
As1 As 0.000 0.228 0.750
Pt1 Pt 0.000 0.359 0.048
```

## Properties
For the energy of formation from the pure elements, the calculation gives -0.302 eV/atom.